No. 1
A plane-wave DFT calculation with PBE-GGA was carried out for a relaxed structure of Pr4TlGa2.

- symmetry = R-3m (166)
- N(E_F) (states/eV/f.u.) = 7.2
- VASP energy (eV/atom) = -4.18
- ΔE to the lowest computed polymorph (meV per atom) = 108

POSCAR file:
```
Pr4TlGa2
1.0
2.625 1.515 9.265
-2.625 1.515 9.265
0.000 -3.031 9.265
Pr Tl Ga
4 1 2
direct
0.119 0.119 0.119
0.294 0.294 0.294
0.706 0.706 0.706
0.881 0.881 0.881
0.500 0.500 0.500
0.402 0.402 0.402
0.598 0.598 0.598
```

=====

No. 2
A plane-wave DFT calculation with PBE-GGA was carried out for a relaxed structure of Pr3Tl2Ga.

- symmetry = P4/mmm (123)
- N(E_F) (states/eV/f.u.) = 5.1
- VASP energy (eV/atom) = -4.12
- ΔE to the lowest computed polymorph (meV per atom) = 0

POSCAR file:
```
Pr3Tl2Ga
1.0
3.829 0.000 0.000
0.000 3.829 0.000
0.000 0.000 11.846
Pr Tl Ga
3 2 1
direct
0.000 0.000 0.000
0.000 0.000 0.347
0.000 0.000 0.653
0.500 0.500 0.172
0.500 0.500 0.828
0.500 0.500 0.500
```

=====

No. 3
A plane-wave DFT calculation with PBE-GGA was carried out for a relaxed structure of Pr3TlGa.

- symmetry = Fmmm (69)
- N(E_F) (states/eV/f.u.) = 5.6
- VASP energy (eV/atom) = -4.29
- ΔE to the lowest computed polymorph (meV per atom) = 0

POSCAR file:
```
Pr3TlGa
1.0
0.000 4.874 8.504
3.620 0.000 8.504
3.620 4.874 0.000
Pr Tl Ga
6 2 2
direct
0.191 0.191 0.809
0.203 0.592 0.408
0.408 0.797 0.203
0.592 0.203 0.797
0.797 0.408 0.592
0.809 0.809 0.191
0.203 0.797 0.797
0.797 0.203 0.203
0.250 0.250 0.250
0.750 0.750 0.750
```